The following is a PBE with a Hubbard U calculation of crystalline BeVAs2O6 at its relaxed geometry, from Alexandria.

Output
M_tot: 1.97 μB per cell
total DFT energy (no corrections): -6.66 eV/atom

abc: 4.850 8.347 8.347
angles: 60.10 77.62 77.62
Positions (direct):
Be 0.250 0.211 0.789
Be 0.750 0.789 0.211
V 0.250 0.894 0.106
V 0.750 0.106 0.894
As 0.326 0.808 0.546
As 0.174 0.454 0.192
As 0.674 0.192 0.454
As 0.826 0.546 0.808
O 0.126 0.012 0.847
O 0.374 0.153 0.988
O 0.874 0.988 0.153
O 0.626 0.847 0.012
O 0.448 0.773 0.342
O 0.052 0.658 0.227
O 0.552 0.227 0.658
O 0.948 0.342 0.773
O 0.981 0.728 0.590
O 0.519 0.410 0.272
O 0.019 0.272 0.410
O 0.481 0.590 0.728